Co2GeSb: relaxed, PBE.

Its symmetry is Fm-3m. Its uncorrected formation energy is 0.17 eV/atom. The value obtained for the energy above the lowest structure with this stoichiometry is 0 meV/atom.

Lattice parameters (Å, degrees): 6.124 6.124 6.124 90.00 90.00 90.00
Sites, in units of the cell vectors:
Co  0.250  0.250  0.250
Co  0.250  0.250  0.750
Co  0.250  0.750  0.250
Co  0.250  0.750  0.750
Co  0.750  0.250  0.250
Co  0.750  0.250  0.750
Co  0.750  0.750  0.250
Co  0.750  0.750  0.750
Ge  0.000  0.000  0.000
Ge  0.000  0.500  0.500
Ge  0.500  0.000  0.500
Ge  0.500  0.500  0.000
Sb  0.000  0.000  0.500
Sb  0.000  0.500  0.000
Sb  0.500  0.000  0.000
Sb  0.500  0.500  0.500